Record 1
Entry from the Alexandria database: La6Ga2Ge after structural relaxation (PBE).

Cell lengths 8.976, 8.976, 8.976 Å; angles 107.03, 109.42, 112.00 degrees
Fractional positions:
La  0.564  0.737  0.827
La  0.436  0.263  0.173
La  0.090  0.263  0.827
La  0.910  0.737  0.173
La  0.805  0.748  0.553
La  0.195  0.252  0.447
La  0.195  0.748  0.943
La  0.805  0.252  0.057
La  0.712  0.380  0.668
La  0.288  0.620  0.332
La  0.288  0.956  0.668
La  0.712  0.044  0.332
Ga  0.500  0.379  0.879
Ga  0.500  0.621  0.121
Ga  0.637  0.000  0.637
Ga  0.363  0.000  0.363
Ge  0.000  0.500  0.500
Ge  0.000  0.000  0.000

Computed properties:
The value obtained for the distance to the lowest polymorph of the same formula is 0 meV per atom. The value obtained for the calculated formation energy is -0.43 eV per atom.

Record 2
Entry from the Alexandria database: DyPaP2 after structural relaxation (PBE).

Cell lengths 3.980, 3.980, 12.987 Å; angles 90.00, 90.00, 120.00 degrees
Fractional positions:
Dy  0.667  0.333  0.250
Dy  0.333  0.667  0.750
Pa  0.000  0.000  0.500
Pa  0.000  0.000  0.000
P  0.333  0.667  0.378
P  0.667  0.333  0.878
P  0.667  0.333  0.622
P  0.333  0.667  0.122

Computed properties:
The value obtained for the distance to the lowest polymorph of the same formula is 30 meV per atom. The value obtained for the calculated formation energy is -1.43 eV per atom.

Record 3
Entry from the Alexandria database: PmHoPaSn after structural relaxation (PBE).

Cell lengths 5.372, 5.372, 5.372 Å; angles 60.00, 60.00, 60.00 degrees
Fractional positions:
Pa  0.500  0.500  0.500
Ho  0.750  0.750  0.750
Sn  0.000  0.000  0.000
Pm  0.250  0.250  0.250

Computed properties:
The value obtained for the calculated formation energy is 0.02 eV per atom.

Record 4
Entry from the Alexandria database: CsK5Hg4 after structural relaxation (PBE).

Cell lengths 5.234, 9.549, 13.336 Å; angles 126.82, 101.32, 90.00 degrees
Fractional positions:
Cs  0.500  0.000  0.000
K  0.188  0.275  0.376
K  0.179  0.756  0.359
K  0.821  0.244  0.641
K  0.500  0.500  0.000
K  0.812  0.725  0.624
Hg  0.642  0.958  0.284
Hg  0.943  0.184  0.885
Hg  0.358  0.042  0.716
Hg  0.057  0.816  0.115

Computed properties:
The value obtained for the calculated formation energy is -0.18 eV per atom.

Record 5
Entry from the Alexandria database: LiGdTl after structural relaxation (PBE).

Cell lengths 3.632, 3.632, 6.195 Å; angles 107.05, 107.05, 90.00 degrees
Fractional positions:
Tl  0.926  0.926  0.852
Gd  0.615  0.615  0.230
Li  0.309  0.309  0.618

Computed properties:
The value obtained for the distance to the lowest polymorph of the same formula is 117 meV per atom. The value obtained for the calculated formation energy is -0.18 eV per atom.

Record 6
Entry from the Alexandria database: Tb3Er4Tm3 after structural relaxation (PBE).

Cell lengths 3.642, 9.227, 9.227 Å; angles 90.08, 90.00, 90.00 degrees
Fractional positions:
Tb  0.500  0.828  0.172
Tb  0.500  0.327  0.328
Tb  0.500  0.672  0.673
Er  0.000  0.626  0.374
Er  0.000  0.373  0.627
Er  0.000  0.875  0.873
Er  0.000  0.127  0.125
Tm  0.000  0.497  0.999
Tm  0.000  0.001  0.503
Tm  0.500  0.173  0.827

Computed properties:
The value obtained for the calculated formation energy is 0.10 eV per atom.

Record 7
Entry from the Alexandria database: CdAg2P after structural relaxation (PBE).

Cell lengths 9.107, 9.107, 9.107 Å; angles 19.47, 19.47, 19.47 degrees
Fractional positions:
Ag  0.004  0.004  0.004
Ag  0.252  0.252  0.252
Cd  0.498  0.498  0.498
P  0.746  0.746  0.746

Computed properties:
The value obtained for the distance to the lowest polymorph of the same formula is 68 meV per atom. The value obtained for the calculated formation energy is 0.22 eV per atom.

Record 8
Entry from the Alexandria database: Lu2PdRu after structural relaxation (PBE).

Cell lengths 3.390, 3.390, 6.707 Å; angles 90.00, 90.00, 90.00 degrees
Fractional positions:
Ru  0.500  0.500  0.000
Lu  0.000  0.000  0.760
Lu  0.000  0.000  0.240
Pd  0.500  0.500  0.500

Computed properties:
The value obtained for the calculated formation energy is -0.80 eV per atom.

Record 9
Entry from the Alexandria database: Pu2PaAl after structural relaxation (PBE).

Cell lengths 5.029, 5.029, 5.029 Å; angles 60.00, 60.00, 60.00 degrees
Fractional positions:
Pa  0.500  0.500  0.500
Al  0.000  0.000  0.000
Pu  0.250  0.250  0.250
Pu  0.750  0.750  0.750

Computed properties:
The value obtained for the distance to the lowest polymorph of the same formula is 99 meV per atom. The value obtained for the calculated formation energy is 0.04 eV per atom.

Record 10
Entry from the Alexandria database: RbCa2Si after structural relaxation (PBE).

Cell lengths 8.880, 8.880, 9.028 Å; angles 60.54, 60.54, 90.00 degrees
Fractional positions:
Ca  0.381  0.125  0.250
Ca  0.369  0.625  0.250
Ca  0.375  0.619  0.750
Ca  0.875  0.631  0.750
Si  0.500  0.500  0.000
Si  0.250  0.750  0.500
Rb  0.000  0.000  0.000
Rb  0.750  0.250  0.500

Record 11
Entry from the Alexandria database: Pr3SmHo7 after structural relaxation (PBE).

Cell lengths 6.691, 6.542, 8.653 Å; angles 81.39, 80.85, 95.10 degrees
Fractional positions:
Pr  0.937  0.800  0.162
Pr  0.500  0.000  0.000
Pr  0.063  0.200  0.838
Sm  0.500  0.500  0.500
Ho  0.777  0.275  0.215
Ho  0.734  0.986  0.583
Ho  0.293  0.441  0.144
Ho  0.707  0.559  0.856
Ho  0.000  0.500  0.500
Ho  0.266  0.014  0.417
Ho  0.223  0.725  0.785

Computed properties:
The value obtained for the distance to the lowest polymorph of the same formula is 0 meV per atom. The value obtained for the calculated formation energy is 0.12 eV per atom.

Record 12
Entry from the Alexandria database: Be2TlPb after structural relaxation (PBE).

Cell lengths 4.201, 4.201, 6.208 Å; angles 71.01, 71.01, 60.03 degrees
Fractional positions:
Pb  0.750  0.750  0.750
Be  0.912  0.912  0.265
Be  0.588  0.588  0.235
Tl  0.250  0.250  0.250

Computed properties:
The value obtained for the distance to the lowest polymorph of the same formula is 63 meV per atom. The value obtained for the calculated formation energy is 0.58 eV per atom.

Record 13
Entry from the Alexandria database: ThCd2Hg2 after structural relaxation (PBE).

Cell lengths 3.444, 5.163, 13.943 Å; angles 91.94, 90.00, 90.00 degrees
Fractional positions:
Th  0.250  0.747  0.254
Th  0.750  0.253  0.746
Cd  0.250  0.759  0.860
Cd  0.750  0.241  0.140
Cd  0.250  0.245  0.532
Cd  0.750  0.755  0.468
Hg  0.250  0.746  0.649
Hg  0.750  0.254  0.351
Hg  0.250  0.262  0.954
Hg  0.750  0.738  0.046

Computed properties:
The value obtained for the distance to the lowest polymorph of the same formula is 37 meV per atom. The value obtained for the calculated formation energy is -0.12 eV per atom.

Record 14
Entry from the Alexandria database: Sr2YCd2 after structural relaxation (PBE).

Cell lengths 8.089, 8.089, 5.363 Å; angles 90.00, 90.00, 90.00 degrees
Fractional positions:
Y  0.000  0.000  0.000
Y  0.500  0.500  0.000
Sr  0.175  0.675  0.500
Sr  0.675  0.825  0.500
Sr  0.825  0.325  0.500
Sr  0.325  0.175  0.500
Cd  0.372  0.872  0.000
Cd  0.872  0.628  0.000
Cd  0.628  0.128  0.000
Cd  0.128  0.372  0.000

Computed properties:
The value obtained for the distance to the lowest polymorph of the same formula is 0 meV per atom. The value obtained for the calculated formation energy is -0.17 eV per atom.

Record 15
Entry from the Alexandria database: KOs2W after structural relaxation (PBE).

Cell lengths 5.114, 5.114, 6.754 Å; angles 79.15, 79.15, 33.44 degrees
Fractional positions:
K  0.257  0.257  0.229
Os  0.046  0.046  0.905
Os  0.743  0.743  0.703
W  0.454  0.454  0.663

Computed properties:
The value obtained for the distance to the lowest polymorph of the same formula is 388 meV per atom. The value obtained for the calculated formation energy is 1.08 eV per atom.

Record 16
Entry from the Alexandria database: TlCu2Br after structural relaxation (PBE).

Cell lengths 5.509, 5.509, 3.918 Å; angles 68.60, 68.60, 108.67 degrees
Fractional positions:
Br  0.000  0.500  0.500
Cu  0.000  0.000  0.000
Cu  0.500  0.500  0.000
Tl  0.500  0.000  0.500

Computed properties:
The value obtained for the distance to the lowest polymorph of the same formula is 282 meV per atom.

Record 17
Entry from the Alexandria database: MoAs2Ir after structural relaxation (PBE).

Cell lengths 5.487, 5.487, 5.487 Å; angles 147.18, 134.15, 57.52 degrees
Fractional positions:
Mo  0.241  0.741  0.500
Ir  0.517  0.517  0.000
As  0.008  0.008  0.000
As  0.735  0.235  0.500

Computed properties:
The value obtained for the distance to the lowest polymorph of the same formula is 176 meV per atom. The value obtained for the calculated formation energy is 0.13 eV per atom.

Record 18
Entry from the Alexandria database: LiNiH4Rh after structural relaxation (PBE).

Cell lengths 5.211, 5.401, 5.651 Å; angles 121.54, 90.00, 118.84 degrees
Fractional positions:
Li  0.856  0.711  0.106
Li  0.144  0.289  0.894
Ni  0.500  0.500  0.500
Ni  0.000  0.500  0.500
H  0.732  0.464  0.681
H  0.301  0.038  0.269
H  0.737  0.038  0.269
H  0.732  0.464  0.284
H  0.268  0.536  0.716
H  0.699  0.962  0.731
H  0.263  0.962  0.731
H  0.268  0.536  0.319
Rh  0.500  0.000  0.500
Rh  0.500  0.000  0.000

Record 19
Entry from the Alexandria database: CaBe3Rh after structural relaxation (PBE).

Cell lengths 4.479, 4.479, 4.479 Å; angles 90.00, 90.00, 90.00 degrees
Fractional positions:
Be  0.000  0.500  0.000
Be  0.000  0.000  0.500
Be  0.500  0.000  0.000
Ca  0.000  0.000  0.000
Rh  0.500  0.500  0.500

Computed properties:
The value obtained for the distance to the lowest polymorph of the same formula is 2435 meV per atom. The value obtained for the calculated formation energy is 2.31 eV per atom.

Record 20
Entry from the Alexandria database: BaAcSnBr after structural relaxation (PBE).

Cell lengths 5.867, 5.867, 5.867 Å; angles 60.00, 60.00, 60.00 degrees
Fractional positions:
Ac  0.000  0.000  0.000
Ba  0.500  0.500  0.500
Br  0.750  0.750  0.750
Sn  0.250  0.250  0.250

Number 1: DFT total energy -4.903 eV/atom, N(E_F) 21.830 states/eV/cell. Number 2: DFT total energy -7.658 eV/atom, N(E_F) 4.515 states/eV/cell. Number 3: DFT total energy -5.684 eV/atom, N(E_F) 7.132 states/eV/cell. Number 4: DFT total energy -0.935 eV/atom, N(E_F) 6.145 states/eV/cell. Number 5: DFT total energy -6.296 eV/atom, N(E_F) 3.739 states/eV/cell. Number 6: DFT total energy -4.458 eV/atom, N(E_F) 7.894 states/eV/cell. Number 7: DFT total energy -2.786 eV/atom, N(E_F) 1.343 states/eV/cell. Number 8: DFT total energy -6.682 eV/atom, N(E_F) 1.302 states/eV/cell. Number 9: DFT total energy -10.431 eV/atom, N(E_F) 10.113 states/eV/cell. Number 10: DFT total energy -2.393 eV/atom, N(E_F) 2.896 states/eV/cell. Number 11: DFT total energy -4.524 eV/atom, N(E_F) 17.158 states/eV/cell. Number 12: DFT total energy -2.807 eV/atom, N(E_F) 1.149 states/eV/cell. Number 13: DFT total energy -2.086 eV/atom, N(E_F) 6.013 states/eV/cell. Number 14: DFT total energy -2.497 eV/atom, N(E_F) 17.532 states/eV/cell. Number 15: DFT total energy -8.052 eV/atom, N(E_F) 2.692 states/eV/cell. Number 16: DFT total energy -2.727 eV/atom, N(E_F) 0.830 states/eV/cell. Number 17: DFT total energy -7.116 eV/atom, N(E_F) 3.885 states/eV/cell. Number 18: DFT total energy -4.279 eV/atom, N(E_F) 3.863 states/eV/cell. Number 19: DFT total energy -1.798 eV/atom, N(E_F) 11.012 states/eV/cell. Number 20: DFT total energy -3.935 eV/atom, N(E_F) 1.513 states/eV/cell.